No. 1
# DyHfTi PBE relaxed
# **Raw total energy**: -87.08 eV/cell
data_DyHfTi
_chemical_formula_sum 'Dy4 Hf4 Ti4'
_symmetry_space_group_name_H-M 'C m c m'
_symmetry_Int_Tables_number 63
_symmetry_space_group_name_Hall '-C 2c 2'
_cell_length_a 4.524
_cell_length_b 13.367
_cell_length_c 4.575
_cell_angle_alpha 90.00
_cell_angle_beta 90.00
_cell_angle_gamma 90.00
loop_
_atom_site_label
_atom_site_type_symbol
_atom_site_fract_x
_atom_site_fract_y
_atom_site_fract_z
Dy1 Dy 0.000 0.092 0.250
Hf1 Hf 0.000 0.402 0.250
Ti1 Ti 0.000 0.248 0.750

No. 2
# La2CoCu PBE relaxed
# **Raw total energy**: -42.17 eV/cell
data_La2CoCu
_chemical_formula_sum 'La4 Co2 Cu2'
_symmetry_space_group_name_H-M 'I m m 2'
_symmetry_Int_Tables_number 44
_cell_length_a 3.576
_cell_length_b 4.311
_cell_length_c 11.609
_cell_angle_alpha 90.00
_cell_angle_beta 90.00
_cell_angle_gamma 90.00
loop_
_symmetry_equiv_pos_as_xyz
'x,y,z'
'-x,-y,z'
'-x,y,z'
'x,-y,z'
'x+1/2,y+1/2,z+1/2'
'-x+1/2,-y+1/2,z+1/2'
'-x+1/2,y+1/2,z+1/2'
'x+1/2,-y+1/2,z+1/2'
loop_
_atom_site_label
_atom_site_type_symbol
_atom_site_fract_x
_atom_site_fract_y
_atom_site_fract_z
La1 La 0.000 0.000 0.000
La2 La 0.000 0.500 0.212
Co1 Co 0.000 0.500 0.755
Cu1 Cu 0.000 0.000 0.408

Number 1: ΔH_f (0 K) 227 meV per atom. Number 2: ΔH_f (0 K) -7 meV per atom.